# 1
VASP calculation (PBE) on a relaxed LuNbNiB crystal.

Unit cell a=4.3876 b=4.3876 c=4.3876 alpha=60.00 beta=60.00 gamma=60.00
Fractional positions:
Lu (0.0000, 0.0000, 0.0000)
Nb (0.5000, 0.5000, 0.5000)
Ni (0.7500, 0.7500, 0.7500)
B (0.2500, 0.2500, 0.2500)

Output
total energy = -26.4 eV for the cell shown
crystal system = cubic
polymorph energy (0 for the lowest one) = 0 meV per atom
total magnetization = 1.17 μB/f.u.
symmetry = F-43m, No. 216

# 2
VASP calculation (PBE) on a relaxed HgIrSO crystal.

Unit cell a=3.4104 b=8.0259 c=5.3642 alpha=90.00 beta=90.00 gamma=90.00
Fractional positions:
Hg (0.0000, 0.0709, 0.0000)
Hg (0.0000, 0.9291, 0.5000)
Ir (0.5000, 0.4985, 0.2851)
Ir (0.5000, 0.5015, 0.7851)
S (0.0000, 0.3633, 0.5345)
S (0.0000, 0.6367, 0.0345)
O (0.5000, 0.3107, 0.0329)
O (0.5000, 0.6893, 0.5329)

Output
total energy = -38.1 eV for the cell shown
crystal system = orthorhombic
polymorph energy (0 for the lowest one) = 34 meV per atom
total magnetization = 0.01 μB/f.u.
symmetry = Pmc2_1, No. 26

# 3
VASP calculation (PBE) on a relaxed SrCdSO crystal.

Unit cell a=7.1860 b=7.7353 c=6.7695 alpha=90.00 beta=90.00 gamma=90.00
Fractional positions:
Sr (0.1119, 0.1062, 0.0000)
Sr (0.3881, 0.1062, 0.5000)
Sr (0.6119, 0.8938, 0.0000)
Sr (0.8881, 0.8938, 0.5000)
Cd (0.0583, 0.6377, 0.0802)
Cd (0.4417, 0.6377, 0.5802)
Cd (0.5583, 0.3623, 0.0802)
Cd (0.9417, 0.3623, 0.5802)
S (0.1054, 0.6311, 0.7056)
S (0.3946, 0.6311, 0.2056)
S (0.6054, 0.3689, 0.7056)
S (0.8946, 0.3689, 0.2056)
O (0.0818, 0.1134, 0.6449)
O (0.4182, 0.1134, 0.1449)
O (0.5818, 0.8866, 0.6449)
O (0.9182, 0.8866, 0.1449)

Output
total energy = -72.5 eV for the cell shown
crystal system = orthorhombic
symmetry = Pca2_1, No. 29

# 4
VASP calculation (PBE) on a relaxed MgZrAgPt crystal.

Unit cell a=4.6779 b=4.6779 c=4.6779 alpha=60.00 beta=60.00 gamma=60.00
Fractional positions:
Mg (0.0000, 0.0000, 0.0000)
Zr (0.7500, 0.7500, 0.7500)
Ag (0.2500, 0.2500, 0.2500)
Pt (0.5000, 0.5000, 0.5000)

Output
total energy = -20.5 eV for the cell shown
crystal system = cubic
polymorph energy (0 for the lowest one) = 202 meV per atom
total magnetization = 0.53 μB/f.u.
symmetry = F-43m, No. 216

# 5
VASP calculation (PBE) on a relaxed Lu7Ir2S2 crystal.

Unit cell a=8.7173 b=8.7173 c=8.7173 alpha=154.75 beta=67.76 gamma=118.29
Fractional positions:
Lu (0.0000, 0.0000, 0.0000)
Lu (0.0532, 0.3718, 0.6814)
Lu (0.1103, 0.7464, 0.3639)
Lu (0.3825, 0.7464, 0.6361)
Lu (0.4668, 0.5878, 0.8789)
Lu (0.6904, 0.3718, 0.3186)
Lu (0.7089, 0.5878, 0.1211)
Ir (0.3111, 0.0735, 0.2376)
Ir (0.8359, 0.0735, 0.7624)
S (0.3448, 0.3448, 0.0000)
S (0.7446, 0.2446, 0.5000)

Output
total energy = -70.0 eV for the cell shown
crystal system = orthorhombic
total magnetization = 0.00 μB/f.u.
symmetry = Imm2, No. 44

# 6
VASP calculation (PBE) on a relaxed MgCoNiBi crystal.

Unit cell a=4.4706 b=4.4706 c=4.4706 alpha=60.00 beta=60.00 gamma=60.00
Fractional positions:
Mg (0.0000, 0.0000, 0.0000)
Co (0.2500, 0.2500, 0.2500)
Ni (0.7500, 0.7500, 0.7500)
Bi (0.5000, 0.5000, 0.5000)

Output
total energy = -17.8 eV for the cell shown
crystal system = cubic
polymorph energy (0 for the lowest one) = 0 meV per atom
total magnetization = 0.05 μB/f.u.
symmetry = F-43m, No. 216

# 7
VASP calculation (PBE) on a relaxed CsTa3Ge5 crystal.

Unit cell a=5.5222 b=5.5222 c=8.5455 alpha=90.00 beta=90.00 gamma=120.00
Fractional positions:
Cs (0.0000, 0.0000, 0.0000)
Ta (0.0000, 0.5000, 0.5000)
Ta (0.5000, 0.0000, 0.5000)
Ta (0.5000, 0.5000, 0.5000)
Ge (0.0000, 0.0000, 0.5000)
Ge (0.3333, 0.6667, 0.2326)
Ge (0.3333, 0.6667, 0.7674)
Ge (0.6667, 0.3333, 0.2326)
Ge (0.6667, 0.3333, 0.7674)

Output
total energy = -59.1 eV for the cell shown
crystal system = hexagonal
total magnetization = 0.00 μB/f.u.
symmetry = P6/mmm, No. 191

# 8
VASP calculation (PBE) on a relaxed TmCo3B2 crystal.

Unit cell a=4.9640 b=4.9640 c=3.0086 alpha=90.00 beta=90.00 gamma=120.00
Fractional positions:
Tm (0.0000, 0.0000, 0.0000)
Co (0.0000, 0.5000, 0.5000)
Co (0.5000, 0.0000, 0.5000)
Co (0.5000, 0.5000, 0.5000)
B (0.3333, 0.6667, 0.0000)
B (0.6667, 0.3333, 0.0000)

Output
total energy = -42.3 eV for the cell shown
crystal system = hexagonal
total magnetization = 0.01 μB/f.u.
symmetry = P6/mmm, No. 191

# 9
VASP calculation (PBE) on a relaxed KHoCdS3 crystal.

Unit cell a=11.8971 b=4.1220 c=12.2774 alpha=90.00 beta=90.00 gamma=90.00
Fractional positions:
K (0.1464, 0.2500, 0.0045)
K (0.3536, 0.7500, 0.5045)
K (0.6464, 0.2500, 0.4955)
K (0.8536, 0.7500, 0.9955)
Ho (0.0391, 0.2500, 0.3394)
Ho (0.4609, 0.7500, 0.8394)
Ho (0.5391, 0.2500, 0.1606)
Ho (0.9609, 0.7500, 0.6606)
Cd (0.2370, 0.2500, 0.7158)
Cd (0.2630, 0.7500, 0.2158)
Cd (0.7370, 0.2500, 0.7842)
Cd (0.7630, 0.7500, 0.2842)
S (0.0493, 0.7500, 0.1838)
S (0.0885, 0.2500, 0.5691)
S (0.2341, 0.7500, 0.8375)
S (0.2659, 0.2500, 0.3375)
S (0.4115, 0.7500, 0.0691)
S (0.4507, 0.2500, 0.6838)
S (0.5493, 0.7500, 0.3162)
S (0.5885, 0.2500, 0.9309)
S (0.7341, 0.7500, 0.6625)
S (0.7659, 0.2500, 0.1625)
S (0.9115, 0.7500, 0.4309)
S (0.9507, 0.2500, 0.8162)

Output
total energy = -108.3 eV for the cell shown
crystal system = orthorhombic
polymorph energy (0 for the lowest one) = 44 meV per atom
total magnetization = 0.00 μB/f.u.
symmetry = Pnma, No. 62

# 10
VASP calculation (PBE) on a relaxed CoTcAg2 crystal.

Unit cell a=4.4521 b=4.4521 c=4.4521 alpha=60.00 beta=60.00 gamma=60.00
Fractional positions:
Co (0.0000, 0.0000, 0.0000)
Tc (0.7500, 0.7500, 0.7500)
Ag (0.2500, 0.2500, 0.2500)
Ag (0.5000, 0.5000, 0.5000)

Output
total energy = -20.5 eV for the cell shown
formation energy = 2.6 eV/f.u.
crystal system = cubic
total magnetization = 3.94 μB/f.u.
symmetry = F-43m, No. 216

# 11
VASP calculation (PBE) on a relaxed TmScTe crystal.

Unit cell a=4.8756 b=4.8756 c=4.8756 alpha=60.00 beta=60.00 gamma=60.00
Fractional positions:
Tm (0.0000, 0.0000, 0.0000)
Sc (0.5000, 0.5000, 0.5000)
Te (0.7500, 0.7500, 0.7500)

Output
total energy = -15.1 eV for the cell shown
crystal system = cubic
polymorph energy (0 for the lowest one) = 0 meV per atom
total magnetization = 1.06 μB/f.u.
symmetry = F-43m, No. 216

# 12
VASP calculation (PBE) on a relaxed Dy5Ag4Au crystal.

Unit cell a=3.6141 b=3.6141 c=18.1341 alpha=90.00 beta=90.00 gamma=90.00
Fractional positions:
Dy (0.0000, 0.0000, 0.0000)
Dy (0.0000, 0.0000, 0.2011)
Dy (0.0000, 0.0000, 0.4029)
Dy (0.0000, 0.0000, 0.5971)
Dy (0.0000, 0.0000, 0.7989)
Ag (0.5000, 0.5000, 0.1004)
Ag (0.5000, 0.5000, 0.3004)
Ag (0.5000, 0.5000, 0.6996)
Ag (0.5000, 0.5000, 0.8996)
Au (0.5000, 0.5000, 0.5000)

Output
total energy = -42.0 eV for the cell shown
formation energy = -4.4 eV/f.u.
crystal system = tetragonal
total magnetization = 0.00 μB/f.u.
symmetry = P4/mmm, No. 123

# 13
VASP calculation (PBE) on a relaxed Zr3Al3IrAu2 crystal.

Unit cell a=4.1426 b=6.8072 c=6.8072 alpha=120.06 beta=90.00 gamma=90.00
Fractional positions:
Zr (0.0000, 0.0000, 0.0000)
Zr (0.0000, 0.1875, 0.5935)
Zr (0.0000, 0.5935, 0.1875)
Al (0.5000, 0.3543, 0.3543)
Al (0.5000, 0.5929, 0.8343)
Al (0.5000, 0.8343, 0.5929)
Ir (0.0000, 0.5936, 0.5936)
Au (0.5000, 0.2603, 0.9274)
Au (0.5000, 0.9274, 0.2603)

Output
total energy = -59.2 eV for the cell shown
crystal system = orthorhombic
polymorph energy (0 for the lowest one) = 0 meV per atom
total magnetization = 0.01 μB/f.u.
symmetry = Amm2, No. 38

# 14
VASP calculation (PBE) on a relaxed LiTbPbS3 crystal.

Unit cell a=8.7066 b=8.7066 c=8.3543 alpha=103.73 beta=103.73 gamma=26.22
Fractional positions:
Li (0.0011, 0.0011, 0.1967)
Li (0.9989, 0.9989, 0.8033)
Tb (0.3347, 0.3347, 0.9108)
Tb (0.6653, 0.6653, 0.0892)
Pb (0.3670, 0.3670, 0.4358)
Pb (0.6330, 0.6330, 0.5642)
S (0.0000, 0.0000, 0.5000)
S (0.1668, 0.1668, 0.8594)
S (0.1723, 0.1723, 0.3157)
S (0.5000, 0.5000, 0.0000)
S (0.8277, 0.8277, 0.6843)
S (0.8332, 0.8332, 0.1406)

Output
total energy = -61.8 eV for the cell shown
crystal system = monoclinic
polymorph energy (0 for the lowest one) = 0 meV per atom
total magnetization = 0.00 μB/f.u.
symmetry = C2/m, No. 12

# 15
VASP calculation (PBE) on a relaxed Hf4Zr2Fe3C3 crystal.

Unit cell a=5.5694 b=5.5694 c=13.6263 alpha=102.14 beta=102.14 gamma=59.94
Fractional positions:
Hf (0.0298, 0.2016, 0.0955)
Hf (0.1360, 0.3009, 0.4045)
Hf (0.2016, 0.0298, 0.5955)
Hf (0.3009, 0.1360, 0.9045)
Hf (0.6991, 0.8640, 0.0955)
Hf (0.7984, 0.9702, 0.4045)
Hf (0.8640, 0.6991, 0.5955)
Hf (0.9702, 0.7984, 0.9045)
Zr (0.3734, 0.5394, 0.1140)
Zr (0.4606, 0.6266, 0.3860)
Zr (0.5394, 0.3734, 0.6140)
Zr (0.6266, 0.4606, 0.8860)
Fe (0.0798, 0.9202, 0.7500)
Fe (0.0937, 0.4168, 0.7507)
Fe (0.4168, 0.0937, 0.2507)
Fe (0.5833, 0.9063, 0.7493)
Fe (0.9063, 0.5833, 0.2493)
Fe (0.9202, 0.0798, 0.2500)
C (0.0000, 0.5000, 0.0000)
C (0.1736, 0.6632, 0.4997)
C (0.3368, 0.8264, 0.0003)
C (0.5000, 0.0000, 0.5000)
C (0.6632, 0.1736, 0.9997)
C (0.8264, 0.3368, 0.5003)

Output
total energy = -228.1 eV for the cell shown
crystal system = monoclinic
total magnetization = 2.76 μB/f.u.
symmetry = C2/c, No. 15

# 16
VASP calculation (PBE) on a relaxed CsGdSbSe3 crystal.

Unit cell a=8.5680 b=8.5680 c=11.9278 alpha=90.00 beta=90.00 gamma=149.18
Fractional positions:
Cs (0.2127, 0.7873, 0.7500)
Cs (0.7873, 0.2127, 0.2500)
Gd (0.5000, 0.5000, 0.0000)
Gd (0.5000, 0.5000, 0.5000)
Sb (0.0895, 0.9105, 0.2500)
Sb (0.9105, 0.0895, 0.7500)
Se (0.1127, 0.8873, 0.0111)
Se (0.1127, 0.8873, 0.4889)
Se (0.4989, 0.5011, 0.7500)
Se (0.5011, 0.4989, 0.2500)
Se (0.8873, 0.1127, 0.5111)
Se (0.8873, 0.1127, 0.9889)

Output
total energy = -52.8 eV for the cell shown
crystal system = orthorhombic
total magnetization = 0.00 μB/f.u.
symmetry = Cmcm, No. 63

# 17
VASP calculation (PBE) on a relaxed PrTlCdS3 crystal.

Unit cell a=11.7903 b=4.3300 c=12.2702 alpha=90.00 beta=90.00 gamma=90.00
Fractional positions:
Pr (0.0227, 0.2500, 0.1699)
Pr (0.4773, 0.7500, 0.6699)
Pr (0.5227, 0.2500, 0.3301)
Pr (0.9773, 0.7500, 0.8301)
Tl (0.1571, 0.2500, 0.5098)
Tl (0.3429, 0.7500, 0.0098)
Tl (0.6571, 0.2500, 0.9902)
Tl (0.8429, 0.7500, 0.4902)
Cd (0.2493, 0.7500, 0.3005)
Cd (0.2507, 0.2500, 0.8005)
Cd (0.7493, 0.7500, 0.1995)
Cd (0.7507, 0.2500, 0.6995)
S (0.0360, 0.7500, 0.3293)
S (0.0952, 0.2500, 0.9407)
S (0.2276, 0.7500, 0.6873)
S (0.2724, 0.2500, 0.1873)
S (0.4048, 0.7500, 0.4407)
S (0.4640, 0.2500, 0.8293)
S (0.5360, 0.7500, 0.1707)
S (0.5952, 0.2500, 0.5593)
S (0.7276, 0.7500, 0.8127)
S (0.7724, 0.2500, 0.3127)
S (0.9048, 0.7500, 0.0593)
S (0.9640, 0.2500, 0.6707)

Output
total energy = -108.4 eV for the cell shown
crystal system = orthorhombic
polymorph energy (0 for the lowest one) = 13 meV per atom
total magnetization = 0.00 μB/f.u.
symmetry = Pnma, No. 62

# 18
VASP calculation (PBE) on a relaxed Dy6Co2Hg crystal.

Unit cell a=8.3532 b=8.3532 c=8.3532 alpha=112.04 beta=109.53 gamma=106.88
Fractional positions:
Dy (0.0172, 0.2262, 0.7910)
Dy (0.1865, 0.2909, 0.4774)
Dy (0.1865, 0.7091, 0.8956)
Dy (0.3167, 0.0148, 0.6982)
Dy (0.3167, 0.6185, 0.3018)
Dy (0.4352, 0.2262, 0.2090)
Dy (0.5648, 0.7738, 0.7910)
Dy (0.6833, 0.3815, 0.6982)
Dy (0.6833, 0.9852, 0.3018)
Dy (0.8135, 0.2909, 0.1044)
Dy (0.8135, 0.7091, 0.5226)
Dy (0.9828, 0.7738, 0.2090)
Co (0.1126, 0.6126, 0.5000)
Co (0.3787, 0.0000, 0.3787)
Co (0.6213, 0.0000, 0.6213)
Co (0.8874, 0.3874, 0.5000)
Hg (0.0000, 0.0000, 0.0000)
Hg (0.5000, 0.5000, 0.0000)

Output
total energy = -88.8 eV for the cell shown
formation energy = -2.3 eV/f.u.
crystal system = orthorhombic
total magnetization = 0.02 μB/f.u.
symmetry = Immm, No. 71

# 19
VASP calculation (PBE) on a relaxed Pt crystal.

Unit cell a=3.9392 b=3.9393 c=44.1368 alpha=90.00 beta=90.00 gamma=90.00
Fractional positions:
Pt (0.2500, 0.0000, 0.0225)
Pt (0.2500, 0.0000, 0.1126)
Pt (0.2500, 0.0000, 0.2029)
Pt (0.2500, 0.0000, 0.2937)
Pt (0.2500, 0.0000, 0.7529)
Pt (0.2500, 0.0000, 0.8421)
Pt (0.2500, 0.0000, 0.9325)
Pt (0.2500, 0.5000, 0.0676)
Pt (0.2500, 0.5000, 0.1574)
Pt (0.2500, 0.5000, 0.2494)
Pt (0.2500, 0.5000, 0.3330)
Pt (0.2500, 0.5000, 0.7064)
Pt (0.2500, 0.5000, 0.7971)
Pt (0.2500, 0.5000, 0.8875)
Pt (0.2500, 0.5000, 0.9775)
Pt (0.7500, 0.0000, 0.0675)
Pt (0.7500, 0.0000, 0.1579)
Pt (0.7500, 0.0000, 0.2471)
Pt (0.7500, 0.0000, 0.7063)
Pt (0.7500, 0.0000, 0.7971)
Pt (0.7500, 0.0000, 0.8874)
Pt (0.7500, 0.0000, 0.9775)
Pt (0.7500, 0.5000, 0.0225)
Pt (0.7500, 0.5000, 0.1125)
Pt (0.7500, 0.5000, 0.2029)
Pt (0.7500, 0.5000, 0.2936)
Pt (0.7500, 0.5000, 0.6670)
Pt (0.7500, 0.5000, 0.7506)
Pt (0.7500, 0.5000, 0.8426)
Pt (0.7500, 0.5000, 0.9324)

Output
total energy = -176.9 eV for the cell shown
formation energy = 0.2 eV/f.u.
crystal system = orthorhombic
polymorph energy (0 for the lowest one) = 159 meV per atom
total magnetization = 0.00 μB/f.u.
symmetry = Pmma, No. 51

# 20
VASP calculation (PBE) on a relaxed HfMg crystal.

Unit cell a=5.0216 b=12.7671 c=5.4817 alpha=90.00 beta=90.00 gamma=90.00
Fractional positions:
Hf (0.2500, 0.0029, 0.1530)
Hf (0.2500, 0.1182, 0.6745)
Hf (0.2500, 0.3818, 0.6745)
Hf (0.2500, 0.4971, 0.1530)
Hf (0.7500, 0.5029, 0.8470)
Hf (0.7500, 0.6182, 0.3255)
Hf (0.7500, 0.8818, 0.3255)
Hf (0.7500, 0.9971, 0.8470)
Mg (0.2500, 0.2500, 0.1706)
Mg (0.2500, 0.6224, 0.6599)
Mg (0.2500, 0.7500, 0.1730)
Mg (0.2500, 0.8776, 0.6599)
Mg (0.7500, 0.1224, 0.3401)
Mg (0.7500, 0.2500, 0.8270)
Mg (0.7500, 0.3776, 0.3401)
Mg (0.7500, 0.7500, 0.8294)

Output
total energy = -89.4 eV for the cell shown
crystal system = orthorhombic
total magnetization = 0.05 μB/f.u.
symmetry = Pmmn, No. 59

| no. | V (Å³/atom) |
| --- | --- |
| 1 | 14.9 |
| 2 | 18.4 |
| 3 | 23.5 |
| 4 | 18.1 |
| 5 | 22.4 |
| 6 | 15.8 |
| 7 | 25.1 |
| 8 | 10.7 |
| 9 | 25.1 |
| 10 | 15.6 |
| 11 | 27.3 |
| 12 | 23.7 |
| 13 | 18.5 |
| 14 | 22.6 |
| 15 | 14.8 |
| 16 | 37.4 |
| 17 | 26.1 |
| 18 | 24.9 |
| 19 | 22.8 |
| 20 | 22.0 |